A plane-wave DFT calculation with PBE was carried out for a relaxed CaTb9Er2 crystal.

Geometry as CIF:
```
data_CaTb9Er2
_symmetry_space_group_name_H-M 'P 4/m m m'
_symmetry_Int_Tables_number 123
_symmetry_space_group_name_Hall '-P 4 2'
_cell_length_a 5.0488
_cell_length_b 5.0488
_cell_length_c 15.1603
_cell_angle_alpha 90.00
_cell_angle_beta 90.00
_cell_angle_gamma 90.00
loop_
_atom_site_label
_atom_site_type_symbol
_atom_site_fract_x
_atom_site_fract_y
_atom_site_fract_z
Ca1 Ca 0.0000 0.0000 0.0000
Tb1 Tb 0.0000 0.5000 0.1734
Tb2 Tb 0.0000 0.5000 0.5000
Tb3 Tb 0.5000 0.5000 0.0000
Tb4 Tb 0.5000 0.5000 0.3341
Er1 Er 0.0000 0.0000 0.3345
```

final energy	-4.351	eV/atom
formation energy	0.05	eV/atom